Record 1
# CaUNi10 (PBE-GGA, relaxed)
data_CaUNi10
_cell_length_a 3.9774
_cell_length_b 4.8817
_cell_length_c 8.3757
_cell_angle_alpha 90.00
_cell_angle_beta 90.00
_cell_angle_gamma 90.00
_symmetry_space_group_name_H-M 'P 1'
_symmetry_Int_Tables_number 1
loop_
_symmetry_equiv_pos_as_xyz
'x,y,z'
loop_
_atom_site_label
_atom_site_type_symbol
_atom_site_fract_x
_atom_site_fract_y
_atom_site_fract_z
Ca1 Ca 0.0000 0.0000 0.0000
U1 U 0.0000 0.5000 0.5000
Ni1 Ni 0.0000 0.0000 0.3391
Ni2 Ni 0.0000 0.0000 0.6609
Ni3 Ni 0.0000 0.5000 0.1805
Ni4 Ni 0.0000 0.5000 0.8195
Ni5 Ni 0.5000 0.0000 0.5000
Ni6 Ni 0.5000 0.2552 0.2573
Ni7 Ni 0.5000 0.2552 0.7427
Ni8 Ni 0.5000 0.5000 0.0000
Ni9 Ni 0.5000 0.7448 0.2573
Ni10 Ni 0.5000 0.7448 0.7427
# Energy of formation from the pure elements ... -0.18 eV per atom
# Total DFT energy (no corrections) ... -6.1043 eV per atom



Record 2
# CaU2Ni9 (PBE-GGA, relaxed)
data_CaU2Ni9
_cell_length_a 8.6184
_cell_length_b 8.6184
_cell_length_c 8.6184
_cell_angle_alpha 32.98
_cell_angle_beta 32.98
_cell_angle_gamma 32.98
_symmetry_space_group_name_H-M 'P 1'
_symmetry_Int_Tables_number 1
loop_
_symmetry_equiv_pos_as_xyz
'x,y,z'
loop_
_atom_site_label
_atom_site_type_symbol
_atom_site_fract_x
_atom_site_fract_y
_atom_site_fract_z
Ca1 Ca 0.0000 0.0000 0.0000
U1 U 0.1415 0.1415 0.1415
U2 U 0.8585 0.8585 0.8585
Ni1 Ni 0.0828 0.5840 0.5840
Ni2 Ni 0.3326 0.3326 0.3326
Ni3 Ni 0.4160 0.4160 0.9172
Ni4 Ni 0.4160 0.9172 0.4160
Ni5 Ni 0.5000 0.5000 0.5000
Ni6 Ni 0.5840 0.0828 0.5840
Ni7 Ni 0.5840 0.5840 0.0828
Ni8 Ni 0.6674 0.6674 0.6674
Ni9 Ni 0.9172 0.4160 0.4160
# Energy of formation from the pure elements ... -0.21 eV per atom
# Total DFT energy (no corrections) ... -6.5966 eV per atom



Record 3
# CaVNi3 (PBE-GGA, relaxed)
data_CaVNi3
_cell_length_a 4.4360
_cell_length_b 4.4360
_cell_length_c 4.4360
_cell_angle_alpha 90.00
_cell_angle_beta 90.00
_cell_angle_gamma 90.00
_symmetry_space_group_name_H-M 'P 1'
_symmetry_Int_Tables_number 1
loop_
_symmetry_equiv_pos_as_xyz
'x,y,z'
loop_
_atom_site_label
_atom_site_type_symbol
_atom_site_fract_x
_atom_site_fract_y
_atom_site_fract_z
Ca1 Ca 0.0000 0.0000 0.0000
V1 V 0.5000 0.5000 0.5000
Ni1 Ni 0.0000 0.5000 0.5000
Ni2 Ni 0.5000 0.0000 0.5000
Ni3 Ni 0.5000 0.5000 0.0000
# Offset from the most stable computed form ... 0.00 kJ/mol of atoms
# Energy of formation from the pure elements ... 0.43 eV per atom
# Total DFT energy (no corrections) ... -5.2581 eV per atom



Number 1: total moment 1.5 μB/cell. Number 2: total moment 3.1 μB/cell. Number 3: total moment 1.1 μB/cell.